Record 1
## PaTaPN (GGA-PBE)

Data for a geometry-optimized PaTaPN structure.

Cell lengths 3.9037, 3.9037, 8.7358 Å; angles 90.00, 90.00, 90.00 degrees
Closest atoms and distances in Å follow each position.
Element x y z (fractional)
1 N 0.0000 0.0000 0.0000  4 Pa 2.29
2 N 0.5000 0.5000 0.0000  4 Pa 2.29
3 Pa 0.5000 0.0000 0.1379  4 N 2.29
4 Pa 0.0000 0.5000 0.8621  4 N 2.29
5 Ta 0.0000 0.0000 0.5000  4 P 2.59, 4 Ta 2.76
6 Ta 0.5000 0.5000 0.5000  4 P 2.59, 4 Ta 2.76
7 P 0.0000 0.5000 0.3045  4 Ta 2.59
8 P 0.5000 0.0000 0.6955  4 Ta 2.59

---

Record 2
## PaTaP2N (GGA-PBE)

Data for a geometry-optimized PaTaP2N structure.

Cell lengths 3.6737, 3.6737, 12.5780 Å; angles 90.00, 90.00, 90.00 degrees
Closest atoms and distances in Å follow each position.
Element x y z (fractional)
1 P 0.5000 0.0000 0.8820  5 Ta 2.56-2.63
2 P 0.0000 0.5000 0.1180  5 Ta 2.56-2.63
3 P 0.5000 0.0000 0.2862  1 Ta 2.52
4 P 0.0000 0.5000 0.7138  1 Ta 2.52
5 N 0.5000 0.5000 0.5000  4 Pa 2.25
6 N 0.0000 0.0000 0.5000  4 Pa 2.25
7 Ta 0.0000 0.5000 0.9141  6 P 2.52-2.63
8 Ta 0.5000 0.0000 0.0859  6 P 2.52-2.63
9 Pa 0.5000 0.0000 0.6031  4 N 2.25
10 Pa 0.0000 0.5000 0.3969  4 N 2.25

---

Record 3
## TbPa2PN6 (GGA-PBE)

Data for a geometry-optimized TbPa2PN6 structure.

Cell lengths 5.0256, 5.2503, 5.2503 Å; angles 90.00, 90.00, 90.00 degrees
Closest atoms and distances in Å follow each position.
Element x y z (fractional)
1 N 0.7331 0.7777 0.7777  1 P 1.77
2 N 0.7331 0.2223 0.2223  1 P 1.77
3 N 0.7331 0.2223 0.7777  1 P 1.77
4 N 0.2697 0.0000 0.0000  1 P 1.69
5 N 0.1030 0.5000 0.5000  1 Tb 2.24
6 N 0.7331 0.7777 0.2223  1 P 1.77
7 P 0.6057 0.0000 0.0000  5 N 1.69-1.77
8 Tb 0.5490 0.5000 0.5000  5 N 2.24-2.26
9 Pa 0.9935 0.5000 0.0000  4 N 2.28
10 Pa 0.9935 0.0000 0.5000  4 N 2.28

---

Record 4
## TbPa2P2N6 (GGA-PBE)

Data for a geometry-optimized TbPa2P2N6 structure.

Cell lengths 5.6497, 5.6497, 5.7445 Å; angles 90.00, 90.00, 120.00 degrees
Closest atoms and distances in Å follow each position.
Element x y z (fractional)
1 N 0.3808 0.3060 0.7392  1 P 1.71
2 N 0.0748 0.3808 0.2608  1 P 1.71
3 N 0.6940 0.0748 0.7392  1 P 1.71
4 N 0.9252 0.6192 0.7392  1 P 1.71
5 N 0.6192 0.6940 0.2608  1 P 1.71
6 N 0.3060 0.9252 0.2608  1 P 1.71
7 P 0.6667 0.3333 0.8654  3 N 1.71
8 P 0.3333 0.6667 0.1346  3 N 1.71
9 Pa 0.3333 0.6667 0.6307  3 N 2.27
10 Pa 0.6667 0.3333 0.3693  3 N 2.27
11 Tb 0.0000 0.0000 0.0000  6 N 2.48

---

Record 5
## ThPaPN5 (GGA-PBE)

Data for a geometry-optimized ThPaPN5 structure.

Cell lengths 5.8483, 5.8483, 7.3326 Å; angles 99.81, 99.81, 108.56 degrees
Closest atoms and distances in Å follow each position.
Element x y z (fractional)
1 N 0.2750 0.4195 0.5890  1 P 1.67
2 N 0.1063 0.8937 0.2500  2 Pa 2.09, 1 Th 2.29
3 N 0.6640 0.0947 0.3615  1 P 1.66
4 N 0.0947 0.6640 0.8615  1 P 1.66
5 N 0.4195 0.2750 0.0890  1 P 1.67
6 N 0.7250 0.5805 0.4110  1 P 1.67
7 N 0.9053 0.3360 0.1385  1 P 1.66
8 N 0.8937 0.1063 0.7500  2 Pa 2.09, 1 Th 2.29
9 N 0.3360 0.9053 0.6385  1 P 1.66
10 N 0.5805 0.7250 0.9110  1 P 1.67
11 P 0.6791 0.3209 0.2500  4 N 1.66-1.67
12 P 0.3209 0.6791 0.7500  4 N 1.66-1.67
13 Th 0.6521 0.3479 0.7500  5 N 2.29-2.55
14 Th 0.3479 0.6521 0.2500  5 N 2.29-2.55
15 Pa 0.0000 0.0000 0.5000  4 N 2.09-2.32
16 Pa 0.0000 0.0000 0.0000  4 N 2.09-2.32

---

Record 6
## ThPaP2N (GGA-PBE)

Data for a geometry-optimized ThPaP2N structure.

Cell lengths 4.0336, 4.0336, 13.4581 Å; angles 90.00, 90.00, 90.00 degrees
Closest atoms and distances in Å follow each position.
Element x y z (fractional)
1 P 0.5000 0.0000 0.9044  5 Pa 2.85-2.87
2 P 0.0000 0.5000 0.0956  5 Pa 2.85-2.87
3 P 0.5000 0.0000 0.3040  1 Pa 2.53
4 P 0.0000 0.5000 0.6960  1 Pa 2.53
5 Pa 0.0000 0.5000 0.8836  1 P 2.53
6 Pa 0.5000 0.0000 0.1164  1 P 2.53
7 N 0.0000 0.0000 0.5000  4 Th 2.35
8 N 0.5000 0.5000 0.5000  4 Th 2.35
9 Th 0.0000 0.5000 0.4098  4 N 2.35
10 Th 0.5000 0.0000 0.5902  4 N 2.35

---

E_form (uncorrected), respectively: -1255, -1010, -971, -1034, -1050, -1129 meV per atom.
Theoretical density, respectively: 11.4, 9.5, 8.8, 8.0, 8.2, 8.2 g/cm3.
Total moment, respectively: 0.000, 0.000, 0.000, 0.098, 0.000, 0.000 μB/atom.